DFT (GGA-PBE) results for an optimized crystal structure of Zn4Se5.

The structure in POSCAR format:
```
Zn4Se5
1.0
7.4918 0.0000 0.0000
-3.7459 6.4881 0.0000
0.0000 0.0000 7.4873
Se Zn
10 8
Cartesian
3.7459 2.1627 0.0000
0.0000 4.3254 0.0000
-2.8055 4.8593 1.8718
2.8055 4.8593 5.6155
5.6111 0.0000 1.8718
0.9403 1.6287 1.8718
3.7459 2.1627 3.7437
-0.9403 1.6287 5.6155
1.8807 0.0000 5.6155
0.0000 4.3254 3.7437
-1.5579 2.6984 1.8718
3.1159 0.0000 1.8718
-2.1879 3.7896 5.6155
0.0000 0.0000 0.0000
1.5579 2.6984 5.6155
0.0000 0.0000 3.7437
4.3759 0.0000 5.6155
2.1879 3.7896 1.8718
```

## Properties
DOS(E_F) = 15.76 states/eV/cell
Distance to the lowest polymorph of the same formula = 0 meV per atom
DFT total energy = -2.543 eV/atom
Uncorrected formation energy = -0.041 eV per atom